# 1
! NiBi3C PBE-GGA optimized geometry; values from VASP
! * size of the total moment: 0.38 μB per formula unit
! * ΔH_f (0 K): 1.51 eV/atom
! * E_tot: -3.822 eV per atom
&SYSTEM
  ibrav = 0, nat = 5, ntyp = 3
/
ATOMIC_SPECIES
Ni 58.69 Ni.upf
Bi 208.98 Bi.upf
C 12.01 C.upf
ATOMIC_POSITIONS crystal
Ni 0.0000 0.0000 0.0000
Bi 0.0000 0.0000 0.5000
Bi 0.0000 0.5000 0.0000
Bi 0.5000 0.0000 0.0000
C 0.5000 0.5000 0.5000
CELL_PARAMETERS angstrom
5.0791 0.0000 0.0000
0.0000 5.0791 0.0000
0.0000 0.0000 5.0791

# 2
! NiBi2C PBE-GGA optimized geometry; values from VASP
! * size of the total moment: 0.00 μB per formula unit
! * ΔH_f (0 K): 0.91 eV/atom
! * E_tot: -4.781 eV per atom
&SYSTEM
  ibrav = 0, nat = 8, ntyp = 3
/
ATOMIC_SPECIES
Ni 58.69 Ni.upf
Bi 208.98 Bi.upf
C 12.01 C.upf
ATOMIC_POSITIONS crystal
Ni 0.0000 0.0000 0.0000
Ni 0.7500 0.2500 0.5000
Bi 0.1519 0.6250 0.0269
Bi 0.3750 0.4019 0.5269
Bi 0.5981 0.1250 0.9731
Bi 0.8750 0.8481 0.4731
C 0.2500 0.7500 0.5000
C 0.5000 0.5000 0.0000
CELL_PARAMETERS angstrom
-2.9207 2.9207 5.2770
2.9207 -2.9207 5.2770
2.9207 2.9207 -5.2770

# 3
! NiBi3C PBE-GGA optimized geometry; values from VASP
! * size of the total moment: 0.00 μB per formula unit
! * ΔH_f (0 K): 1.20 eV/atom
! * E_tot: -4.127 eV per atom
&SYSTEM
  ibrav = 0, nat = 5, ntyp = 3
/
ATOMIC_SPECIES
Ni 58.69 Ni.upf
Bi 208.98 Bi.upf
C 12.01 C.upf
ATOMIC_POSITIONS crystal
Ni 0.0000 0.0000 0.0000
Bi 0.0000 0.5000 0.5000
Bi 0.5000 0.0000 0.5000
Bi 0.5000 0.5000 0.0000
C 0.5000 0.5000 0.5000
CELL_PARAMETERS angstrom
4.8992 0.0000 0.0000
0.0000 4.8992 0.0000
0.0000 0.0000 4.8992